Material: TlIn2PdPb
Method: DFT, PBE
State: relaxed

Cell lengths 5.207, 5.207, 5.497 Å; angles 90.00, 90.00, 90.00 degrees
Element x y z (fractional)
Tl (0.000, 0.000, 0.000)
In (0.000, 0.500, 0.500)
In (0.500, 0.000, 0.500)
Pd (0.500, 0.500, 0.500)
Pb (0.500, 0.500, 0.000)

Values from the calculation:
DOS at the Fermi energy ... 2.3 states/eV/f.u.
Total magnetic moment ... 0.0 μB per formula unit
ΔH_f (0 K) ... -1.1 kcal/mol of atoms
Electronic total energy ... -3.394 eV per atom



Material: TiBe3S
Method: DFT, PBE
State: relaxed

Cell lengths 4.552, 4.552, 4.552 Å; angles 90.00, 90.00, 90.00 degrees
Element x y z (fractional)
Ti (0.000, 0.000, 0.000)
Be (0.000, 0.000, 0.500)
Be (0.000, 0.500, 0.000)
Be (0.500, 0.000, 0.000)
S (0.500, 0.500, 0.500)

Values from the calculation:
DOS at the Fermi energy ... 2.4 states/eV/f.u.
Total magnetic moment ... 0.0 μB per formula unit
Electronic total energy ... -2.845 eV per atom
Formation energy from raw total energies ... 1.80 eV/atom
Excess energy over the best structure of this formula in the dataset ... 1.096 eV/atom



Material: Cs2CuBr4
Method: DFT, PBE
State: relaxed

Cell lengths 9.528, 9.528, 9.528 Å; angles 146.94, 146.94, 47.46 degrees
Element x y z (fractional)
Cs (0.141, 0.141, 0.000)
Cs (0.859, 0.859, 0.000)
Cu (0.500, 0.500, 0.000)
Br (0.000, 0.500, 0.500)
Br (0.356, 0.356, 0.000)
Br (0.500, 0.000, 0.500)
Br (0.644, 0.644, 0.000)

Values from the calculation:
DOS at the Fermi energy ... 2.4 states/eV/f.u.
Total magnetic moment ... 0.8 μB per formula unit
Electronic total energy ... -2.923 eV per atom
Formation energy from raw total energies ... -1.14 eV/atom
Excess energy over the best structure of this formula in the dataset ... 0.031 eV/atom